! Tm3IrPb2 PBE relaxed; values from VASP
! ΔH_f (0 K), eV per atom: -0.5700
! Fermi-level density of states, states/eV/f.u.: 2.714
! Energy above the lowest structure with this stoichiometry, eV per atom: 0.000
&SYSTEM
  ibrav = 0, nat = 24, ntyp = 3
/
ATOMIC_SPECIES
Tm 168.93 Tm.upf
Ir 192.22 Ir.upf
Pb 207.20 Pb.upf
CELL_PARAMETERS angstrom
12.4987 0.0000 0.0000
0.0000 4.3777 0.0000
0.0000 0.0000 11.5728
ATOMIC_POSITIONS crystal
Tm 0.0572 0.2500 0.1308
Tm 0.1155 0.7500 0.5371
Tm 0.2440 0.7500 0.2857
Tm 0.2560 0.2500 0.7857
Tm 0.3845 0.2500 0.0371
Tm 0.4428 0.7500 0.6308
Tm 0.5572 0.2500 0.3692
Tm 0.6155 0.7500 0.9629
Tm 0.7440 0.7500 0.2143
Tm 0.7560 0.2500 0.7143
Tm 0.8845 0.2500 0.4629
Tm 0.9428 0.7500 0.8692
Ir 0.1210 0.2500 0.3686
Ir 0.3790 0.7500 0.8686
Ir 0.6210 0.2500 0.1314
Ir 0.8790 0.7500 0.6314
Pb 0.0198 0.2500 0.7005
Pb 0.1844 0.7500 0.9966
Pb 0.3156 0.2500 0.4966
Pb 0.4802 0.7500 0.2005
Pb 0.5198 0.2500 0.7995
Pb 0.6844 0.7500 0.5034
Pb 0.8156 0.2500 0.0034
Pb 0.9802 0.7500 0.2995

***

! Tb3MgPd12 PBE relaxed; values from VASP
! ΔH_f (0 K), eV per atom: -0.7613
! Fermi-level density of states, states/eV/f.u.: 14.831
&SYSTEM
  ibrav = 0, nat = 16, ntyp = 3
/
ATOMIC_SPECIES
Tb 158.93 Tb.upf
Mg 24.30 Mg.upf
Pd 106.42 Pd.upf
CELL_PARAMETERS angstrom
4.0995 0.0000 0.0000
0.0000 4.0995 0.0000
0.0000 0.0000 16.3212
ATOMIC_POSITIONS crystal
Tb 0.0000 0.0000 0.0000
Tb 0.0000 0.0000 0.2561
Tb 0.0000 0.0000 0.7439
Mg 0.0000 0.0000 0.5000
Pd 0.0000 0.5000 0.1277
Pd 0.0000 0.5000 0.3833
Pd 0.0000 0.5000 0.6167
Pd 0.0000 0.5000 0.8723
Pd 0.5000 0.0000 0.1277
Pd 0.5000 0.0000 0.3833
Pd 0.5000 0.0000 0.6167
Pd 0.5000 0.0000 0.8723
Pd 0.5000 0.5000 0.0000
Pd 0.5000 0.5000 0.2549
Pd 0.5000 0.5000 0.5000
Pd 0.5000 0.5000 0.7451

***

! Pr2HgOs PBE relaxed; values from VASP
! ΔH_f (0 K), eV per atom: -0.0572
! Fermi-level density of states, states/eV/f.u.: 2.240
! Energy above the lowest structure with this stoichiometry, eV per atom: 0.115
&SYSTEM
  ibrav = 0, nat = 4, ntyp = 3
/
ATOMIC_SPECIES
Pr 140.91 Pr.upf
Hg 200.59 Hg.upf
Os 190.23 Os.upf
CELL_PARAMETERS angstrom
2.0995 1.2121 7.8406
-2.0995 1.2121 7.8406
0.0000 -2.4243 7.8406
ATOMIC_POSITIONS crystal
Pr 0.2316 0.2316 0.2316
Pr 0.7684 0.7684 0.7684
Hg 0.0000 0.0000 0.0000
Os 0.5000 0.5000 0.5000

***

! ZnGa2BPd PBE relaxed; values from VASP
! ΔH_f (0 K), eV per atom: 1.1640
! Fermi-level density of states, states/eV/f.u.: 2.957
&SYSTEM
  ibrav = 0, nat = 5, ntyp = 4
/
ATOMIC_SPECIES
Zn 65.41 Zn.upf
Ga 69.72 Ga.upf
B 10.81 B.upf
Pd 106.42 Pd.upf
CELL_PARAMETERS angstrom
4.6475 0.0000 0.0000
0.0000 4.6475 0.0000
0.0000 0.0000 4.7410
ATOMIC_POSITIONS crystal
Zn 0.0000 0.0000 0.0000
Ga 0.0000 0.5000 0.0000
Ga 0.5000 0.0000 0.0000
B 0.5000 0.5000 0.5000
Pd 0.0000 0.0000 0.5000

***

! HoPaAl6 PBE relaxed; values from VASP
! ΔH_f (0 K), eV per atom: -0.3400
! Fermi-level density of states, states/eV/f.u.: 5.469
&SYSTEM
  ibrav = 0, nat = 8, ntyp = 3
/
ATOMIC_SPECIES
Ho 164.93 Ho.upf
Pa 231.04 Pa.upf
Al 26.98 Al.upf
CELL_PARAMETERS angstrom
6.2728 0.0000 0.0000
-3.1364 5.4324 0.0000
0.0000 0.0000 4.6071
ATOMIC_POSITIONS crystal
Ho 0.0000 0.0000 0.0000
Pa 0.3333 0.6667 0.5000
Al 0.3708 0.1854 0.5000
Al 0.5196 0.0391 0.0000
Al 0.5196 0.4804 0.0000
Al 0.8146 0.1854 0.5000
Al 0.8146 0.6292 0.5000
Al 0.9609 0.4804 0.0000

***

! HfBPd2W PBE relaxed; values from VASP
! ΔH_f (0 K), eV per atom: -0.2136
! Fermi-level density of states, states/eV/f.u.: 4.153
&SYSTEM
  ibrav = 0, nat = 5, ntyp = 4
/
ATOMIC_SPECIES
Hf 178.49 Hf.upf
B 10.81 B.upf
Pd 106.42 Pd.upf
W 183.84 W.upf
CELL_PARAMETERS angstrom
4.1784 0.0000 0.0000
0.0000 4.1784 0.0000
0.0000 0.0000 4.3289
ATOMIC_POSITIONS crystal
Hf 0.0000 0.0000 0.0000
B 0.5000 0.5000 0.5000
Pd 0.0000 0.5000 0.5000
Pd 0.5000 0.0000 0.5000
W 0.5000 0.5000 0.0000

***

! Ca2ReGe PBE relaxed; values from VASP
! ΔH_f (0 K), eV per atom: 0.6850
! Fermi-level density of states, states/eV/f.u.: 2.500
&SYSTEM
  ibrav = 0, nat = 8, ntyp = 3
/
ATOMIC_SPECIES
Ca 40.08 Ca.upf
Re 186.21 Re.upf
Ge 72.64 Ge.upf
CELL_PARAMETERS angstrom
-4.0590 4.0590 2.6883
4.0590 -4.0590 2.6883
4.0590 4.0590 -2.6883
ATOMIC_POSITIONS crystal
Ca 0.1250 0.6250 0.0000
Ca 0.3750 0.3750 0.5000
Ca 0.6250 0.1250 0.0000
Ca 0.8750 0.8750 0.5000
Re 0.0000 0.0000 0.0000
Re 0.7500 0.2500 0.5000
Ge 0.2500 0.7500 0.5000
Ge 0.5000 0.5000 0.0000

***

! Cs3Ge2Br9 PBE relaxed; values from VASP
! Energy relative to the elements, uncorrected, eV per atom: -1.1050
! Fermi-level density of states, states/eV/f.u.: 1.297
&SYSTEM
  ibrav = 0, nat = 14, ntyp = 3
/
ATOMIC_SPECIES
Cs 132.91 Cs.upf
Ge 72.64 Ge.upf
Br 79.90 Br.upf
CELL_PARAMETERS angstrom
7.8093 0.0000 0.0000
-3.9046 6.7630 0.0000
0.0000 0.0000 9.6029
ATOMIC_POSITIONS crystal
Cs 0.0000 0.0000 0.0000
Cs 0.3333 0.6667 0.3342
Cs 0.6667 0.3333 0.6658
Ge 0.3333 0.6667 0.8231
Ge 0.6667 0.3333 0.1769
Br 0.0000 0.5000 0.0000
Br 0.1771 0.3542 0.6803
Br 0.1771 0.8229 0.6803
Br 0.3542 0.1771 0.3197
Br 0.5000 0.0000 0.0000
Br 0.5000 0.5000 0.0000
Br 0.6458 0.8229 0.6803
Br 0.8229 0.1771 0.3197
Br 0.8229 0.6458 0.3197

***

! Ba2AcTl3 PBE relaxed; values from VASP
! ΔH_f (0 K), eV per atom: -0.3858
! Fermi-level density of states, states/eV/f.u.: 4.566
! Energy above the lowest structure with this stoichiometry, eV per atom: 0.000
&SYSTEM
  ibrav = 0, nat = 12, ntyp = 3
/
ATOMIC_SPECIES
Ba 137.33 Ba.upf
Ac 227.00 Ac.upf
Tl 204.38 Tl.upf
CELL_PARAMETERS angstrom
3.0193 -9.0890 0.0000
3.0193 9.0890 0.0000
0.0000 0.0000 8.3971
ATOMIC_POSITIONS crystal
Ba 0.0000 0.0000 0.0000
Ba 0.0000 0.0000 0.5000
Ba 0.3354 0.6646 0.0000
Ba 0.6646 0.3354 0.0000
Ac 0.3381 0.6619 0.5000
Ac 0.6619 0.3381 0.5000
Tl 0.1734 0.8266 0.2715
Tl 0.1734 0.8266 0.7285
Tl 0.5000 0.5000 0.2640
Tl 0.5000 0.5000 0.7360
Tl 0.8266 0.1734 0.2715
Tl 0.8266 0.1734 0.7285

***

! CrHS PBE relaxed; values from VASP
! E_tot, eV/atom: -6.00
! Fermi-level density of states, states/eV/f.u.: 1.511
&SYSTEM
  ibrav = 0, nat = 3, ntyp = 3
/
ATOMIC_SPECIES
Cr 52.00 Cr.upf
H 1.01 H.upf
S 32.06 S.upf
CELL_PARAMETERS angstrom
1.5061 0.8695 3.7745
-1.5061 0.8695 3.7745
0.0000 -1.7390 3.7745
ATOMIC_POSITIONS crystal
Cr 0.0000 0.0000 0.0000
H 0.2880 0.2880 0.2880
S 0.7926 0.7926 0.7926

***

! Cs2BaYPt PBE relaxed; values from VASP
! ΔH_f (0 K), eV per atom: 1.3165
! Fermi-level density of states, states/eV/f.u.: 6.854
&SYSTEM
  ibrav = 0, nat = 5, ntyp = 4
/
ATOMIC_SPECIES
Cs 132.91 Cs.upf
Ba 137.33 Ba.upf
Y 88.91 Y.upf
Pt 195.08 Pt.upf
CELL_PARAMETERS angstrom
6.6567 0.0000 0.0000
0.0000 6.6567 0.0000
0.0000 0.0000 6.0258
ATOMIC_POSITIONS crystal
Cs 0.0000 0.5000 0.0000
Cs 0.5000 0.0000 0.0000
Ba 0.0000 0.0000 0.0000
Y 0.0000 0.0000 0.5000
Pt 0.5000 0.5000 0.5000

***

! BeSbAu PBE relaxed; values from VASP
! Energy relative to the elements, uncorrected, eV per atom: 0.0664
! Fermi-level density of states, states/eV/f.u.: 0.842
&SYSTEM
  ibrav = 0, nat = 12, ntyp = 3
/
ATOMIC_SPECIES
Be 9.01 Be.upf
Sb 121.76 Sb.upf
Au 196.97 Au.upf
CELL_PARAMETERS angstrom
8.4927 0.0000 0.0000
0.0000 4.0781 0.0000
0.0000 0.0000 6.7115
ATOMIC_POSITIONS crystal
Be 0.0448 0.2500 0.2399
Be 0.4552 0.7500 0.7399
Be 0.5448 0.2500 0.2601
Be 0.9552 0.7500 0.7601
Sb 0.1581 0.7500 0.4865
Sb 0.3419 0.2500 0.9865
Sb 0.6581 0.7500 0.0135
Sb 0.8419 0.2500 0.5135
Au 0.1089 0.7500 0.0672
Au 0.3911 0.2500 0.5672
Au 0.6089 0.7500 0.4328
Au 0.8911 0.2500 0.9328

***

! LiTe3Mo PBE relaxed; values from VASP
! Energy relative to the elements, uncorrected, eV per atom: 0.2019
! Fermi-level density of states, states/eV/f.u.: 5.128
! Energy above the lowest structure with this stoichiometry, eV per atom: 0.000
&SYSTEM
  ibrav = 0, nat = 5, ntyp = 3
/
ATOMIC_SPECIES
Li 6.94 Li.upf
Te 127.60 Te.upf
Mo 95.94 Mo.upf
CELL_PARAMETERS angstrom
5.3839 0.0000 0.0000
0.0000 5.3839 0.0000
0.0000 0.0000 5.3839
ATOMIC_POSITIONS crystal
Li 0.0000 0.0000 0.0000
Te 0.0000 0.5000 0.5000
Te 0.5000 0.0000 0.5000
Te 0.5000 0.5000 0.0000
Mo 0.5000 0.5000 0.5000

***

! CaPr4Ho PBE relaxed; values from VASP
! ΔH_f (0 K), eV per atom: 0.2195
! Fermi-level density of states, states/eV/f.u.: 10.443
! Energy above the lowest structure with this stoichiometry, eV per atom: 0.188
&SYSTEM
  ibrav = 0, nat = 6, ntyp = 3
/
ATOMIC_SPECIES
Ca 40.08 Ca.upf
Pr 140.91 Pr.upf
Ho 164.93 Ho.upf
CELL_PARAMETERS angstrom
0.0000 4.8368 4.8368
4.8368 0.0000 4.8368
4.8368 4.8368 0.0000
ATOMIC_POSITIONS crystal
Ca 0.0000 0.0000 0.0000
Pr 0.3768 0.3768 0.3768
Pr 0.3768 0.3768 0.8697
Pr 0.3768 0.8697 0.3768
Pr 0.8697 0.3768 0.3768
Ho 0.7500 0.7500 0.7500

***

! SbP2RhS PBE relaxed; values from VASP
! Energy relative to the elements, uncorrected, eV per atom: 0.4564
! Fermi-level density of states, states/eV/f.u.: 3.782
! Energy above the lowest structure with this stoichiometry, eV per atom: 0.000
&SYSTEM
  ibrav = 0, nat = 5, ntyp = 4
/
ATOMIC_SPECIES
Sb 121.76 Sb.upf
P 30.97 P.upf
Rh 102.91 Rh.upf
S 32.06 S.upf
CELL_PARAMETERS angstrom
4.4992 0.0000 0.0000
0.0000 4.4992 0.0000
0.0000 0.0000 5.0398
ATOMIC_POSITIONS crystal
Sb 0.0000 0.0000 0.0000
P 0.0000 0.5000 0.5000
P 0.5000 0.0000 0.5000
Rh 0.5000 0.5000 0.5000
S 0.5000 0.5000 0.0000